Here is an optimized crystal structure of Al2Ge from the Alexandria database. Energies are from GGA-PBE.

It has space group R-3m (No. 166, hexagonal axes), with a = 4.8779 Å, b = 4.8779 Å, c = 8.1035 Å, α = 90.00°, β = 90.00° and γ = 120.00°. The inequivalent atoms are Al at (0.0000, 0.0000, 0.1792) and Ge at (0.0000, 0.0000, 0.5000).

The electronic total energy comes out at -35.08 eV/cell. Its volume is 55.6 Å³/f.u. The calculation puts the formation energy at 136 meV per atom.

***

Here is an optimized crystal structure of La2Pr5Sm12 from the Alexandria database. Energies are from GGA-PBE.

It has space group C2/m (No. 12), with a = 16.0675 Å, b = 9.4144 Å, c = 8.8911 Å, α = 90.00°, β = 92.85° and γ = 90.00°. The inequivalent atoms are La at (0.0000, 0.1691, 0.0000), Pr at (0.0000, 0.5000, 0.5000), Pr at (0.2142, 0.0000, 0.0341), Pr at (0.2331, 0.5000, 0.5680), Sm at (0.0572, 0.0000, 0.3445), Sm at (0.0687, 0.5000, 0.8765), Sm at (0.1320, 0.1948, 0.6789) and Sm at (0.1466, 0.3209, 0.2430).

The electronic total energy comes out at -176.04 eV/cell. Its volume is 671.6 Å³/f.u. The calculation puts the formation energy at 124 meV per atom.

***

Here is an optimized crystal structure of Fe3P from the Alexandria database. Energies are from GGA-PBE.

It has space group P2/m (No. 10), with a = 2.6080 Å, b = 3.9255 Å, c = 4.4604 Å, α = 90.00°, β = 95.75° and γ = 90.00°. The inequivalent atoms are Fe at (0.0000, 0.0000, 0.0000), Fe at (0.2999, 0.5000, 0.7473) and P at (0.5000, 0.0000, 0.5000).

The electronic total energy comes out at -31.05 eV/cell. Its volume is 45.4 Å³/f.u. The calculation puts the formation energy at -64 meV per atom. The calculation puts the energy above the most stable polymorph in this dataset at 0.293 eV/atom.

***

Here is an optimized crystal structure of Ca2GaN2 from the Alexandria database. Energies are from GGA-PBE.

It has space group C2/m (No. 12), with a = 11.1650 Å, b = 5.0202 Å, c = 6.7888 Å, α = 90.00°, β = 119.48° and γ = 90.00°. The inequivalent atoms are Ca at (0.0275, 0.0000, 0.2588), Ca at (0.1730, 0.5000, 0.0930), Ga at (0.1379, 0.5000, 0.6254), N at (0.0193, 0.5000, 0.2953) and N at (0.1838, 0.0000, 0.1133).

The electronic total energy comes out at -107.91 eV/cell. Its volume is 82.8 Å³/f.u. The uncorrected formation energy comes out at -3.30 eV/f.u.

***

Here is an optimized crystal structure of TbSi2Pd4 from the Alexandria database. Energies are from GGA-PBE.

It has space group P4_2/mnm (No. 136), with a = 7.9075 Å, b = 7.9075 Å, c = 3.7219 Å, α = 90.00°, β = 90.00° and γ = 90.00°. The inequivalent atoms are Tb at (0.0000, 0.0000, 0.0000), Si at (0.2258, 0.2258, 0.5000) and Pd at (0.0742, 0.6797, 0.5000).

The electronic total energy comes out at -84.20 eV/cell. Its volume is 116.4 Å³/f.u. The uncorrected formation energy comes out at -5.85 eV/f.u. The calculation puts the energy above the most stable polymorph in this dataset at 0.000 eV/atom.

***

Here is an optimized crystal structure of Pm6C3BrCl2 from the Alexandria database. Energies are from GGA-PBE.

It has space group C2/m (No. 12), with a = 17.9947 Å, b = 3.7749 Å, c = 8.3843 Å, α = 90.00°, β = 111.61° and γ = 90.00°. The inequivalent atoms are Pm at (0.0135, 0.0000, 0.2135), Pm at (0.1535, 0.5000, 0.1165), Pm at (0.1810, 0.5000, 0.5501), C at (0.0000, 0.5000, 0.0000), C at (0.1668, 0.0000, 0.3324), Br at (0.0000, 0.5000, 0.5000) and Cl at (0.1677, 0.0000, 0.8347).

The electronic total energy comes out at -147.03 eV/cell. Its volume is 264.7 Å³/f.u. The uncorrected formation energy comes out at -11.97 eV/f.u.

***

Here is an optimized crystal structure of CaZnP2 from the Alexandria database. Energies are from GGA-PBE.

It has space group R3m (No. 160, hexagonal axes), with a = 4.2648 Å, b = 4.2648 Å, c = 14.9128 Å, α = 90.00°, β = 90.00° and γ = 120.00°. The inequivalent atoms are Ca at (0.0000, 0.0000, 0.0000), Zn at (0.0000, 0.0000, 0.2152), P at (0.0000, 0.0000, 0.5015) and P at (0.0000, 0.0000, 0.7922).

The electronic total energy comes out at -44.47 eV/cell. Its volume is 78.3 Å³/f.u. The calculation puts the formation energy at -182 meV per atom.

***

Here is an optimized crystal structure of Li4ThCd from the Alexandria database. Energies are from GGA-PBE.

It has space group F-43m (No. 216), with a = 7.8502 Å, b = 7.8502 Å, c = 7.8502 Å, α = 90.00°, β = 90.00° and γ = 90.00°. The inequivalent atoms are Li at (0.1230, 0.1230, 0.3770), Th at (0.0000, 0.0000, 0.0000) and Cd at (0.2500, 0.2500, 0.7500).

The electronic total energy comes out at -62.41 eV/cell. Its volume is 120.9 Å³/f.u. The calculation puts the formation energy at 65 meV per atom.